This record from Alexandria describes YMgCo after structural relaxation. The functional is PBE-GGA.

D(E_F) in states/eV/cell: 2.06
Space group: No. 107
DFT formation energy in eV/atom: -0.016
VASP energy in eV/atom: -5.071
V in Å³/cell: 61.2
Spin magnetization in μB/atom: 0.15

Structure (extended XYZ):
```
3
Lattice="-1.6500 1.6500 5.6162 1.6500 -1.6500 5.6162 1.6500 1.6500 -5.6162" Properties=species:S:1:pos:R:3 pbc="T T T"
Y 0.0000 0.0000 0.0000
Mg 0.0000 0.0000 3.0360
Co 0.0000 0.0000 7.1992
```